No. 1
# Tm4HgIrPd2

Tm4HgIrPd2 after structural relaxation (PBE-GGA, Alexandria via LeMat-Bulk). Values from VASP.

The structure in Quantum ESPRESSO input format:
```
&SYSTEM
  ibrav = 0, nat = 8, ntyp = 4
/
ATOMIC_SPECIES
Tm 168.93 Tm.upf
Pd 106.42 Pd.upf
Ir 192.22 Ir.upf
Hg 200.59 Hg.upf
ATOMIC_POSITIONS crystal
Tm 0.382 0.382 0.854
Tm 0.869 0.869 0.392
Tm 0.131 0.131 0.608
Tm 0.618 0.618 0.146
Pd 0.252 0.252 0.245
Pd 0.748 0.748 0.755
Ir 0.500 0.500 0.500
Hg 0.000 0.000 0.000
CELL_PARAMETERS angstrom
-1.364 3.806 2.843
1.437 0.195 4.725
6.677 5.353 0.333
```


No. 2
# Pm5DyY4

Pm5DyY4 after structural relaxation (PBE-GGA, Alexandria via LeMat-Bulk). Values from VASP.

The structure in Quantum ESPRESSO input format:
```
&SYSTEM
  ibrav = 0, nat = 10, ntyp = 3
/
ATOMIC_SPECIES
Pm 145.00 Pm.upf
Y 88.91 Y.upf
Dy 162.50 Dy.upf
ATOMIC_POSITIONS crystal
Pm 0.766 0.001 0.377
Pm 0.687 0.000 0.000
Pm 0.143 0.999 0.623
Pm 0.767 0.377 0.999
Pm 0.142 0.623 0.001
Y 0.446 0.324 0.676
Y 0.770 0.676 0.676
Y 0.446 0.676 0.324
Y 0.122 0.324 0.324
Dy 0.221 0.000 0.000
CELL_PARAMETERS angstrom
6.061 0.000 0.000
3.030 7.504 0.000
3.030 0.000 7.504
```


No. 3
# Pu5Pa2Ge5

Pu5Pa2Ge5 after structural relaxation (PBE-GGA, Alexandria via LeMat-Bulk). Values from VASP.

The structure in Quantum ESPRESSO input format:
```
&SYSTEM
  ibrav = 0, nat = 12, ntyp = 3
/
ATOMIC_SPECIES
Ge 72.64 Ge.upf
Pu 244.00 Pu.upf
Pa 231.04 Pa.upf
ATOMIC_POSITIONS crystal
Ge 0.326 0.255 0.094
Ge 0.637 0.015 0.711
Ge 0.000 0.500 0.500
Ge 0.674 0.745 0.906
Ge 0.363 0.985 0.289
Pu 0.023 0.745 0.208
Pu 0.000 0.000 0.000
Pu 0.318 0.776 0.588
Pu 0.682 0.224 0.412
Pu 0.977 0.255 0.792
Pa 0.652 0.499 0.197
Pa 0.348 0.501 0.803
CELL_PARAMETERS angstrom
3.737 0.000 0.843
1.776 8.647 0.833
0.118 -0.126 8.180
```


No. 4
! BaCdBi PBE-GGA relaxed; values from VASP
! ΔE to the lowest computed polymorph: 0.01 eV/f.u.
&SYSTEM
  ibrav = 0, nat = 12, ntyp = 3
/
ATOMIC_SPECIES
Bi 208.98 Bi.upf
Ba 137.33 Ba.upf
Cd 112.41 Cd.upf
ATOMIC_POSITIONS crystal
Bi 0.750 0.592 0.279
Bi 0.250 0.408 0.721
Bi 0.750 0.908 0.779
Bi 0.250 0.092 0.221
Ba 0.250 0.694 0.986
Ba 0.750 0.306 0.014
Ba 0.250 0.806 0.486
Ba 0.750 0.194 0.514
Cd 0.750 0.916 0.164
Cd 0.250 0.084 0.836
Cd 0.750 0.584 0.664
Cd 0.250 0.416 0.336
CELL_PARAMETERS angstrom
-4.594 -0.841 -1.803
2.322 -9.862 -1.316
-2.719 -1.669 7.709


One value per record, in order, for formation energy: -0.84 0.25 -0.35 -0.59 eV per atom.